1.
AsIrCl2 | Alexandria | PBE | relaxed; total magnetization = 0.00 μB/f.u.; E_tot = -4.093 eV/atom; polymorph energy (0 for the lowest one) = 679 meV per atom
1.0
-0.7972 -0.8369 2.8410
-1.3995 -2.4864 -1.1252
7.6308 -4.6448 0.7731
Ir Cl As
1 2 1
direct
0.0000 0.0000 0.5354
0.0000 0.0000 0.9275
0.5000 0.5000 0.3401
0.5000 0.5000 0.6969


2.
LiAcNiAs2 | Alexandria | PBE | relaxed; total magnetization = 0.00 μB/f.u.; E_tot = -5.082 eV/atom
1.0
-3.6036 2.2321 0.1963
-0.5355 -1.2190 4.0292
4.8163 3.7817 -0.4503
Li Ni Ac As
1 1 1 2
direct
0.7500 0.2500 0.5000
0.2500 0.7500 0.5000
0.0000 0.0000 0.0000
0.6352 0.6352 0.2703
0.3648 0.3648 0.7297


3.
Y5Zn3 | Alexandria | PBE | relaxed; total magnetization = 0.00 μB/f.u.; E_tot = -4.710 eV/atom; polymorph energy (0 for the lowest one) = 73 meV per atom
1.0
8.8616 0.0150 0.0000
-6.9633 5.4809 0.0000
-0.9492 -2.7480 8.3835
Y Zn
10 6
direct
0.7495 0.2500 0.5000
0.5837 0.2858 0.8698
0.2138 0.9160 0.1302
0.7854 0.0841 0.8698
0.4156 0.7142 0.1302
0.7139 0.5839 0.2982
0.0835 0.2144 0.2982
0.2853 0.4161 0.7018
0.2494 0.7499 0.5000
0.9157 0.7857 0.7018
0.7497 0.7500 0.0000
0.6619 0.8376 0.5000
0.8373 0.3378 0.1756
0.3372 0.1623 0.5000
0.2496 0.2501 0.0000
0.1617 0.6621 0.8244


4.
Sc4ZnGa2 | Alexandria | PBE | relaxed; total magnetization = 0.00 μB/f.u.; E_tot = -5.079 eV/atom; polymorph energy (0 for the lowest one) = 0 meV per atom
1.0
4.4784 0.0000 1.3992
2.0206 3.9966 1.3992
-0.0644 -0.0396 8.0729
Sc Zn Ga
4 1 2
direct
0.6199 0.6199 0.1403
0.1284 0.1284 0.6147
0.8716 0.8716 0.3853
0.3801 0.3801 0.8597
0.0000 0.0000 0.0000
0.2513 0.2513 0.2462
0.7487 0.7487 0.7538


5.
UTiSb2N | Alexandria | PBE | relaxed; total magnetization = 0.78 μB/f.u.; E_tot = -7.909 eV/atom
1.0
-1.3583 1.8323 -3.1006
-3.5821 -1.0311 0.9599
-1.3044 11.2544 7.2221
Sb Ti U N
4 2 2 2
direct
0.5000 0.0000 0.2847
0.0000 0.5000 0.7153
0.0000 0.5000 0.1381
0.5000 0.0000 0.8619
0.5000 0.0000 0.0699
0.0000 0.5000 0.9301
0.5000 0.0000 0.5864
0.0000 0.5000 0.4136
0.0000 0.0000 0.5000
0.5000 0.5000 0.5000


6.
SiAu4 | Alexandria | PBE | relaxed; total magnetization = 0.00 μB/f.u.; E_tot = -3.478 eV/atom
1.0
-0.3135 0.2282 -4.6991
-0.9879 -4.6077 -0.1579
-4.5998 0.9741 0.3542
Au Si
4 1
direct
0.7127 0.2873 0.7127
0.2873 0.2873 0.2873
0.7127 0.7127 0.2873
0.2873 0.7127 0.7127
0.0000 0.0000 0.0000


no.,N(E_F) (states/eV/cell)
1,2.9
2,1.9
3,26.0
4,5.6
5,10.2
6,2.0